Here is a relaxed CePr2TmAs4 crystal from the Alexandria database. Energies are from PBE-GGA.

## Properties
Formation enthalpy at 0 K = -1477 meV/atom
D(E_F) = 6.2 states/eV per cell

Unit cell a=7.299 b=4.224 c=7.322 alpha=90.00 beta=109.40 gamma=90.00
Space group P2/m (No. 10)
Inequivalent atoms, fractional coordinates:
Ce 0.000 0.000 0.000 (multiplicity 1)
Pr 0.000 0.500 0.500 (multiplicity 1)
Pr 0.500 0.000 0.500 (multiplicity 1)
Tm 0.500 0.500 0.000 (multiplicity 1)
As 0.249 0.500 0.239 (multiplicity 2)
As 0.257 0.000 0.764 (multiplicity 2)

Here is a relaxed Ac4Cd3Hg5 crystal from the Alexandria database. Energies are from PBE-GGA.

## Properties
Formation enthalpy at 0 K = -253 meV/atom
D(E_F) = 15.4 states/eV per cell

Unit cell a=15.022 b=5.316 c=12.205 alpha=90.00 beta=127.80 gamma=90.00
Space group C2/m (No. 12)
Inequivalent atoms, fractional coordinates:
Ac 0.023 0.000 0.284 (multiplicity 4)
Ac 0.246 0.000 0.725 (multiplicity 4)
Cd 0.000 0.000 0.000 (multiplicity 2)
Cd 0.244 0.500 0.950 (multiplicity 4)
Hg 0.000 0.500 0.000 (multiplicity 2)
Hg 0.076 0.500 0.648 (multiplicity 4)
Hg 0.188 0.500 0.493 (multiplicity 4)

Here is a relaxed LiPrSmTe3 crystal from the Alexandria database. Energies are from PBE-GGA.

## Properties
D(E_F) = 5.4 states/eV per cell
Uncorrected energy = -0.176 hartree per atom

Unit cell a=9.141 b=4.325 c=9.619 alpha=90.00 beta=103.33 gamma=90.00
Space group P2_1/m (No. 11)
Inequivalent atoms, fractional coordinates:
Li 0.085 0.250 0.086 (multiplicity 2)
Pr 0.187 0.250 0.731 (multiplicity 2)
Sm 0.333 0.750 0.340 (multiplicity 2)
Te 0.090 0.250 0.375 (multiplicity 2)
Te 0.227 0.750 0.999 (multiplicity 2)
Te 0.428 0.750 0.678 (multiplicity 2)

Here is a relaxed SrTl2NiI crystal from the Alexandria database. Energies are from PBE-GGA.

## Properties
D(E_F) = 3.2 states/eV per cell
Uncorrected energy = -0.115 hartree per atom

Unit cell a=5.076 b=5.076 c=6.171 alpha=90.00 beta=90.00 gamma=90.00
Space group P4/mmm (No. 123)
Inequivalent atoms, fractional coordinates:
Sr 0.000 0.000 0.000 (multiplicity 1)
Tl 0.000 0.500 0.500 (multiplicity 2)
Ni 0.000 0.000 0.500 (multiplicity 1)
I 0.500 0.500 0.000 (multiplicity 1)

Here is a relaxed Zn3Pd5Au crystal from the Alexandria database. Energies are from PBE-GGA.

## Properties
Formation enthalpy at 0 K = -396 meV/atom
D(E_F) = 6.6 states/eV per cell
Offset from the most stable computed form = 0 meV per atom

Unit cell a=7.6635 b=7.6635 c=5.4030 alpha=90.00 beta=90.00 gamma=120.00
Space group P6_3/mcm (No. 193)
Inequivalent atoms, fractional coordinates:
Zn 0.0000 0.3475 0.2500 (multiplicity 6)
Pd 0.0000 0.3258 0.7500 (multiplicity 6)
Pd 0.3333 0.6667 0.0000 (multiplicity 4)
Au 0.0000 0.0000 0.0000 (multiplicity 2)

Here is a relaxed SrNiAs2Br crystal from the Alexandria database. Energies are from PBE-GGA.

## Properties
D(E_F) = 12.9 states/eV per cell
Offset from the most stable computed form = 1459 meV per atom

Unit cell a=5.887 b=5.887 c=5.690 alpha=90.00 beta=90.00 gamma=90.00
Space group P4/mmm (No. 123)
Inequivalent atoms, fractional coordinates:
Sr 0.000 0.000 0.000 (multiplicity 1)
Ni 0.500 0.500 0.500 (multiplicity 1)
As 0.000 0.500 0.000 (multiplicity 2)
Br 0.000 0.000 0.500 (multiplicity 1)

Here is a relaxed AcNdSmDy2 crystal from the Alexandria database. Energies are from PBE-GGA.

## Properties
Formation enthalpy at 0 K = 360 meV/atom
D(E_F) = 31.4 states/eV per cell

Unit cell a=6.494 b=17.467 c=6.582 alpha=90.00 beta=90.00 gamma=90.00
Space group Cmcm (No. 63)
Inequivalent atoms, fractional coordinates:
Ac 0.000 0.158 0.250 (multiplicity 4)
Nd 0.000 0.348 0.250 (multiplicity 4)
Sm 0.000 0.223 0.750 (multiplicity 4)
Dy 0.248 0.000 0.000 (multiplicity 8)